1.
Computed, not measured: an optimized crystal structure of BaNb2BiIr at the PBE-GGA level of DFT.

## Properties
E_form, meV per atom: 608

Cell lengths 4.957, 6.053, 4.957 Å; angles 90.00, 90.00, 90.00 degrees
Last column: magnetic moment on the atom in μB.
Atoms (fractional coordinates):
Ba 0.000 0.500 0.000  0.01
Ir 0.000 0.000 0.000  -0.05
Nb 0.000 0.000 0.500  0.46
Nb 0.500 0.000 0.000  0.74
Bi 0.500 0.500 0.500  -0.11

---

2.
Computed, not measured: an optimized crystal structure of Cs3HfCl6 at the PBE-GGA level of DFT.

## Properties
Energy relative to the elements, uncorrected, eV/f.u.: -18.32

Cell lengths 8.191, 8.191, 8.191 Å; angles 60.00, 60.00, 90.00 degrees
Last column: magnetic moment on the atom in μB.
Atoms (fractional coordinates):
Cs 0.250 0.750 0.500  0.00
Cs 0.500 0.500 0.000  0.01
Cs 0.750 0.250 0.500  0.00
Cl 0.217 0.217 0.565  -0.01
Cl 0.217 0.783 0.000  -0.01
Cl 0.783 0.783 0.435  -0.01
Cl 0.783 0.783 0.000  -0.01
Cl 0.217 0.217 0.000  -0.01
Cl 0.783 0.217 0.000  -0.01
Hf 0.000 0.000 0.000  0.62

---

3.
Computed, not measured: an optimized crystal structure of PmBiMo at the PBE-GGA level of DFT.

## Properties
E_form, meV per atom: -52

Cell lengths 3.320, 3.320, 14.772 Å; angles 90.00, 90.00, 90.00 degrees
Atoms (fractional coordinates):
Pm 0.500 0.000 0.807
Pm 0.000 0.500 0.193
Bi 0.000 0.500 0.629
Bi 0.500 0.000 0.371
Mo 0.000 0.500 0.959
Mo 0.500 0.000 0.041

---

4.
Computed, not measured: an optimized crystal structure of Nd3Zn6Pd5 at the PBE-GGA level of DFT.

## Properties
E_form, meV per atom: -626

Cell lengths 4.349, 9.463, 12.926 Å; angles 90.00, 90.00, 90.00 degrees
Atoms (fractional coordinates):
Zn 0.500 0.410 0.181
Zn 0.000 0.030 0.500
Zn 0.500 0.410 0.819
Zn 0.000 0.590 0.319
Zn 0.000 0.451 0.500
Zn 0.500 0.017 0.645
Zn 0.000 0.983 0.145
Zn 0.500 0.549 0.000
Zn 0.500 0.970 0.000
Zn 0.500 0.017 0.355
Zn 0.000 0.590 0.681
Zn 0.000 0.983 0.855
Pd 0.500 0.461 0.386
Pd 0.500 0.210 0.500
Pd 0.000 0.867 0.336
Pd 0.000 0.867 0.664
Pd 0.500 0.133 0.836
Pd 0.000 0.539 0.886
Pd 0.500 0.461 0.614
Pd 0.000 0.790 0.000
Pd 0.000 0.539 0.114
Pd 0.500 0.133 0.164
Nd 0.500 0.750 0.810
Nd 0.000 0.250 0.310
Nd 0.500 0.750 0.190
Nd 0.000 0.250 0.690
Nd 0.000 0.259 0.000
Nd 0.500 0.741 0.500

---

5.
Computed, not measured: an optimized crystal structure of Mg2TiTl at the PBE-GGA level of DFT.

## Properties
Excess energy over the best structure of this formula in the dataset, eV per atom: 0.381
E_form, meV per atom: 407

Cell lengths 3.146, 3.146, 11.098 Å; angles 81.85, 81.85, 60.00 degrees
Last column: magnetic moment on the atom in μB.
Atoms (fractional coordinates):
Ti 0.000 0.000 0.000  1.14
Tl 0.500 0.500 0.500  0.00
Mg 0.086 0.086 0.741  0.00
Mg 0.914 0.914 0.259  0.00

---

6.
Computed, not measured: an optimized crystal structure of Ba4S3Cl at the PBE-GGA level of DFT.

## Properties
Energy relative to the elements, uncorrected, eV/f.u.: -16.16
Excess energy over the best structure of this formula in the dataset, eV per atom: 0.020

Cell lengths 6.420, 6.420, 6.420 Å; angles 90.00, 90.00, 90.00 degrees
Atoms (fractional coordinates):
S 0.500 0.500 0.000
S 0.500 0.000 0.500
S 0.000 0.500 0.500
Ba 0.000 0.500 0.000
Ba 0.000 0.000 0.500
Ba 0.500 0.500 0.500
Ba 0.500 0.000 0.000
Cl 0.000 0.000 0.000

---

7.
Computed, not measured: an optimized crystal structure of TbPm2Ni at the PBE-GGA level of DFT.

## Properties
Excess energy over the best structure of this formula in the dataset, eV per atom: 0.000
E_form, meV per atom: -200

Cell lengths 6.388, 6.962, 9.904 Å; angles 90.00, 90.00, 90.00 degrees
Atoms (fractional coordinates):
Pm 0.675 0.821 0.934
Pm 0.175 0.679 0.066
Pm 0.175 0.679 0.434
Pm 0.825 0.321 0.934
Pm 0.325 0.179 0.066
Pm 0.325 0.179 0.434
Pm 0.675 0.821 0.566
Pm 0.825 0.321 0.566
Ni 0.557 0.113 0.750
Ni 0.057 0.387 0.250
Ni 0.443 0.887 0.250
Ni 0.943 0.613 0.750
Tb 0.648 0.536 0.250
Tb 0.852 0.036 0.250
Tb 0.148 0.964 0.750
Tb 0.352 0.464 0.750

---

8.
Computed, not measured: an optimized crystal structure of BaNa2Pb at the PBE-GGA level of DFT.

## Properties
E_form, meV per atom: -151

Cell lengths 5.630, 5.171, 5.171 Å; angles 90.00, 90.00, 90.00 degrees
Last column: magnetic moment on the atom in μB.
Atoms (fractional coordinates):
Na 0.000 0.500 0.000  0.01
Na 0.000 0.000 0.500  0.01
Ba 0.500 0.000 0.000  0.07
Pb 0.500 0.500 0.500  0.01

---

9.
Computed, not measured: an optimized crystal structure of Hf4ZnGa2 at the PBE-GGA level of DFT.

## Properties
E_form, meV per atom: -198

Cell lengths 5.063, 5.689, 10.027 Å; angles 90.00, 110.49, 90.00 degrees
Atoms (fractional coordinates):
Zn 0.930 0.250 0.833
Zn 0.070 0.750 0.167
Ga 0.214 0.250 0.424
Ga 0.598 0.750 0.002
Ga 0.786 0.750 0.576
Ga 0.402 0.250 0.998
Hf 0.972 0.250 0.116
Hf 0.188 0.750 0.441
Hf 0.588 0.000 0.270
Hf 0.412 0.500 0.730
Hf 0.812 0.250 0.559
Hf 0.028 0.750 0.884
Hf 0.588 0.500 0.270
Hf 0.412 0.000 0.730

---

10.
Computed, not measured: an optimized crystal structure of Y2ErThSc4 at the PBE-GGA level of DFT.

## Properties
E_form, meV per atom: 48

Cell lengths 4.943, 4.945, 10.423 Å; angles 61.68, 90.00, 90.00 degrees
Atoms (fractional coordinates):
Y 0.500 0.000 0.500
Y 0.000 0.000 0.000
Sc 0.000 0.752 0.748
Sc 0.500 0.252 0.748
Sc 0.500 0.748 0.252
Sc 0.000 0.248 0.252
Er 0.500 0.500 0.000
Th 0.000 0.500 0.500

---

11.
Computed, not measured: an optimized crystal structure of Ca2BeW at the PBE-GGA level of DFT.

## Properties
E_form, meV per atom: 854

Cell lengths 2.956, 2.956, 9.425 Å; angles 90.00, 90.00, 90.46 degrees
Last column: magnetic moment on the atom in μB.
Atoms (fractional coordinates):
Ca 0.000 0.000 0.514  0.04
Ca 0.000 0.000 0.986  0.04
Be 0.500 0.500 0.750  0.05
W 0.500 0.500 0.250  0.03

---

12.
Computed, not measured: an optimized crystal structure of KPmSe at the PBE-GGA level of DFT.

## Properties
Energy relative to the elements, uncorrected, eV/f.u.: -2.42

Cell lengths 6.997, 10.640, 10.640 Å; angles 61.41, 70.80, 70.80 degrees
Last column: magnetic moment on the atom in μB.
Atoms (fractional coordinates):
Se 0.759 0.823 0.875  0.00
Se 0.456 0.177 0.125  0.00
Se 0.759 0.375 0.323  0.00
Se 0.319 0.195 0.695  -0.01
Se 0.208 0.805 0.305  -0.01
Se 0.456 0.625 0.677  0.00
K 0.856 0.144 0.644  0.01
K 0.137 0.453 0.953  0.02
K 0.821 0.330 0.830  0.02
K 0.981 0.670 0.170  0.02
K 0.644 0.856 0.356  0.01
K 0.543 0.547 0.047  0.02
Pm 0.034 0.786 0.610  0.40
Pm 0.430 0.890 0.714  0.40
Pm 0.378 0.500 0.500  0.44
Pm 0.034 0.110 0.286  0.40
Pm 0.378 0.000 0.000  0.44
Pm 0.430 0.214 0.390  0.40

---

Number 1: magnetization 1.38 μB/cell. Number 2: magnetization 1.00 μB/cell. Number 3: magnetization 0.00 μB/cell. Number 4: magnetization 0.00 μB/cell. Number 5: magnetization 1.49 μB/cell. Number 6: magnetization 0.00 μB/cell. Number 7: magnetization 0.00 μB/cell. Number 8: magnetization 0.46 μB/cell. Number 9: magnetization 0.00 μB/cell. Number 10: magnetization 0.00 μB/cell. Number 11: magnetization 0.40 μB/cell. Number 12: magnetization 6.27 μB/cell.